An optimized crystal structure of ScAlHg2. Source: the Alexandria database, functional PBE-GGA.

Unit cell a=3.1862 b=4.6435 c=5.7633 alpha=90.00 beta=90.00 gamma=90.00
Closest atoms and distances in Å follow each position.
Fractional coordinates of all 4 atoms:
Sc  0.0000  0.0000  0.0000  8 Hg 3.12-3.43, 4 Al 3.12, 2 Sc 3.19
Al  0.5000  0.5000  0.7658  3 Hg 2.69-2.70
Hg  0.5000  0.0000  0.5279  2 Al 2.70, 2 Hg 2.88
Hg  0.5000  0.5000  0.2322  1 Al 2.69, 2 Hg 2.88

For the total energy, the calculation gives -0.10495 Ha/atom. Its space group is Pmm2 (25).


An optimized crystal structure of ScAlHg. Source: the Alexandria database, functional PBE-GGA.

Unit cell a=5.4211 b=3.1769 c=7.4446 alpha=90.00 beta=105.74 gamma=90.00
Closest atoms and distances in Å follow each position.
Fractional coordinates of all 6 atoms:
Sc  0.0000  0.0000  0.0000  4 Al 3.02-3.06, 6 Hg 3.11-3.19, 3 Sc 3.18-3.25
Sc  0.1953  0.0000  0.6234  6 Al 3.00-3.31, 4 Hg 3.03-3.05, 3 Sc 3.18-3.25
Al  0.7403  0.5000  0.6548  2 Hg 2.74-2.93, 1 Al 2.81, 4 Sc 3.00-3.02
Al  0.8562  0.5000  0.3087  3 Hg 2.70-2.80, 1 Al 2.81, 2 Sc 3.01
Hg  0.3602  0.5000  0.3266  3 Al 2.70-2.74, 1 Hg 3.01
Hg  0.4928  0.5000  0.9595  2 Al 2.80-2.93, 1 Hg 3.01, 4 Sc 3.03-3.12

As for the excess energy over the best structure of this formula in the dataset: 9.3 kJ/mol of atoms. Its space group is Pm (6).


An optimized crystal structure of Sc4AlHg3. Source: the Alexandria database, functional PBE-GGA.

Unit cell a=3.4701 b=3.4701 c=14.1114 alpha=90.00 beta=90.00 gamma=90.00
Closest atoms and distances in Å follow each position.
Fractional coordinates of all 8 atoms:
Sc  0.0000  0.0000  0.1180  4 Al 2.97, 4 Hg 3.02
Sc  0.0000  0.0000  0.3718  8 Hg 3.05
Sc  0.0000  0.0000  0.6282  8 Hg 3.05
Sc  0.0000  0.0000  0.8820  4 Al 2.97, 4 Hg 3.02
Al  0.5000  0.5000  0.0000  8 Sc 2.97
Hg  0.5000  0.5000  0.2429  8 Sc 3.02-3.05
Hg  0.5000  0.5000  0.5000  8 Sc 3.05
Hg  0.5000  0.5000  0.7571  8 Sc 3.02-3.05

For the total energy, the calculation gives -0.15329 Ha/atom. Its space group is P4/mmm (123).


An optimized crystal structure of ScAlHg. Source: the Alexandria database, functional PBE-GGA.

Unit cell a=6.6218 b=6.6218 c=6.6218 alpha=90.00 beta=90.00 gamma=90.00
Closest atoms and distances in Å follow each position.
Fractional coordinates of all 12 atoms:
Sc  0.0000  0.0000  0.0000  4 Hg 2.87, 4 Al 2.87
Sc  0.0000  0.5000  0.5000  4 Hg 2.87, 4 Al 2.87
Sc  0.5000  0.0000  0.5000  4 Hg 2.87, 4 Al 2.87
Sc  0.5000  0.5000  0.0000  4 Hg 2.87, 4 Al 2.87
Al  0.2500  0.2500  0.2500  4 Sc 2.87
Al  0.2500  0.7500  0.7500  4 Sc 2.87
Al  0.7500  0.2500  0.7500  4 Sc 2.87
Al  0.7500  0.7500  0.2500  4 Sc 2.87
Hg  0.2500  0.2500  0.7500  4 Sc 2.87
Hg  0.2500  0.7500  0.2500  4 Sc 2.87
Hg  0.7500  0.2500  0.2500  4 Sc 2.87
Hg  0.7500  0.7500  0.7500  4 Sc 2.87

As for the excess energy over the best structure of this formula in the dataset: 47.5 kJ/mol of atoms. Its space group is F-43m (216).


We obtain Fermi-level density of states values of 0.418 0.671 0.861 0.865 states/eV/atom for the records listed above, in that order.
We obtain volume values of 21.32 20.57 21.24 24.20 Å³/atom for the records listed above, in that order.